Record 1
# Y2Mg2Tl

A relaxed Y2Mg2Tl crystal (PBE, Alexandria).

Cell: 5.1569 5.1626 6.5674 Å, 67.22 67.05 60.24°
Last column: nearest neighbours and their distance in Å.
Space group P-1 (No. 2)
Unique sites:
Y  0.1018  0.1016  0.1946 x2  3 Tl 3.19-3.20, 3 Mg 3.35
Mg  0.3180  0.3181  0.5460 x2  3 Mg 3.03, 1 Tl 3.20, 3 Y 3.35
Tl  0.5000  0.5000  0.0000 x1  6 Y 3.19-3.20, 2 Mg 3.20

The total DFT energy (no corrections) comes out at -3.881 eV/atom. For the magnetic moment, the calculation gives 0.0 μB/f.u. For the distance to the lowest polymorph of the same formula, the calculation gives 0.0 meV/atom. The formation energy is -0.18 eV per atom.

---

Record 2
# YMg2Tl

A relaxed YMg2Tl crystal (PBE, Alexandria).

Cell: 3.3921 4.8187 6.5210 Å, 90.00 104.81 90.00°
Last column: nearest neighbours and their distance in Å.
Space group Pm (No. 6)
Unique sites:
Y  0.0000  0.0000  0.0000 x1  7 Mg 3.23-3.54, 4 Tl 3.23, 2 Y 3.39
Mg  0.2592  0.0000  0.5126 x1  2 Tl 2.97, 4 Mg 3.21-3.22, 1 Y 3.23
Mg  0.6544  0.5000  0.3086 x1  6 Mg 3.21-3.39, 3 Tl 3.28-3.48, 4 Y 3.53-3.54
Tl  0.3956  0.5000  0.7887 x1  3 Mg 2.97-3.28, 4 Y 3.23

The total DFT energy (no corrections) comes out at -3.153 eV/atom. For the magnetic moment, the calculation gives 0.0 μB/f.u. For the distance to the lowest polymorph of the same formula, the calculation gives 88.1 meV/atom. The formation energy is -0.15 eV per atom.

---

Record 3
# YMg2Tl

A relaxed YMg2Tl crystal (PBE, Alexandria).

Cell: 9.0263 5.2017 5.2028 Å, 90.00 125.03 90.00°
Last column: nearest neighbours and their distance in Å.
Space group Cm (No. 8)
Unique sites:
Y  0.0000  0.0000  0.0000 x2  4 Mg 3.19, 4 Tl 3.19
Mg  0.0000  0.5000  0.4993 x2  4 Mg 3.18-3.20, 4 Tl 3.19-3.20
Mg  0.2500  0.5000  0.2506 x2  4 Mg 3.18-3.20, 4 Y 3.19
Tl  0.2500  0.0000  0.7492 x2  4 Mg 3.19-3.20, 4 Y 3.19

The total DFT energy (no corrections) comes out at -3.165 eV/atom. For the magnetic moment, the calculation gives 0.0 μB/f.u. For the distance to the lowest polymorph of the same formula, the calculation gives 76.1 meV/atom. The formation energy is -0.16 eV per atom.

---

Record 4
# Y2Mg3Tl

A relaxed Y2Mg3Tl crystal (PBE, Alexandria).

Cell: 6.9892 10.1937 17.5619 Å, 90.00 90.00 90.00°
Last column: nearest neighbours and their distance in Å.
Space group Fmmm (No. 69)
Unique sites:
Y  0.2489  0.0000  0.0000 x8  2 Tl 3.40, 10 Mg 3.41-3.43, 2 Y 3.48-3.51
Y  0.2500  0.2500  0.2500 x8  8 Mg 3.42, 4 Tl 3.42, 2 Y 3.49
Mg  0.0000  0.0000  0.3335 x8  1 Tl 2.94, 2 Mg 2.95
Mg  0.0000  0.2492  0.0829 x16  2 Mg 2.91-2.95, 1 Tl 2.93
Tl  0.0000  0.0000  0.1663 x8  3 Mg 2.93-2.94

The total DFT energy (no corrections) comes out at -3.527 eV/atom. For the magnetic moment, the calculation gives 0.0 μB/f.u. The formation energy is -0.18 eV per atom.

---

Record 5
# Y2MgTl2

A relaxed Y2MgTl2 crystal (PBE, Alexandria).

Cell: 8.7117 8.7117 3.8389 Å, 90.00 90.00 90.00°
Last column: nearest neighbours and their distance in Å.
Space group P4/mbm (No. 127)
Unique sites:
Y  0.1525  0.3475  0.0000 x4  6 Tl 3.07-3.28, 2 Mg 3.31
Mg  0.0000  0.0000  0.0000 x2  4 Y 3.31
Tl  0.1526  0.6526  0.5000 x4  6 Y 3.07-3.28

The total DFT energy (no corrections) comes out at -3.952 eV/atom. For the magnetic moment, the calculation gives 0.0 μB/f.u. For the distance to the lowest polymorph of the same formula, the calculation gives 221.0 meV/atom. The formation energy is -0.10 eV per atom.

---

Record 6
# YMg4Tl2

A relaxed YMg4Tl2 crystal (PBE, Alexandria).

Cell: 8.7080 8.7080 4.5744 Å, 90.00 90.00 90.00°
Last column: nearest neighbours and their distance in Å.
Space group P4_2/mnm (No. 136)
Unique sites:
Y  0.0000  0.0000  0.0000 x2  4 Tl 3.31
Mg  0.1005  0.3473  0.5000 x8  3 Tl 2.89-2.93, 6 Mg 3.04-3.21
Tl  0.1938  0.8062  0.5000 x4  6 Mg 2.89-2.93

The total DFT energy (no corrections) comes out at -2.624 eV/atom. For the magnetic moment, the calculation gives 0.0 μB/f.u. For the distance to the lowest polymorph of the same formula, the calculation gives 0.0 meV/atom. The formation energy is -0.11 eV per atom.